CoCu2TeO6 | PBE with a Hubbard U | optimized geometry

The calculation puts the calculated total energy at -53.96 eV/f.u. The value obtained for the density of states at the Fermi level is 22.09 states/eV/cell.

Cell: 10.182 8.844 5.122 Å, 90.00 100.46 90.00°
Space group C2/c (No. 15)
Inequivalent atoms, fractional coordinates:
1 Co 0.000 0.083 0.250 [4 per cell]
2 Cu 0.200 0.399 0.328 [8 per cell]
3 Te 0.000 0.266 0.750 [4 per cell]
4 O 0.099 0.082 0.613 [8 per cell]
5 O 0.103 0.234 0.112 [8 per cell]
6 O 0.128 0.406 0.657 [8 per cell]